(1)
First-principles (PBE) data for Lu3Np after structural relaxation, as listed in the Alexandria database.

```
Lu3Np
1.0
-1.6568 5.5696 3.0535
1.6568 -5.5696 3.0535
1.6568 5.5696 -3.0535
Lu Np
3 1
Direct
0.0000 0.0000 0.0000
0.4304 0.6792 0.7512
0.9280 0.6792 0.2488
0.4968 0.9968 0.5000
```

## Properties
ΔE_f: 0.27 eV per atom
Relative energy among the computed polymorphs: 0.000 eV per atom
Final energy: -0.4675 Ry/atom
Size of the total moment: 5.43 μB per formula unit

***

(2)
First-principles (PBE) data for BaNa2 after structural relaxation, as listed in the Alexandria database.

```
BaNa2
1.0
0.0000 5.1496 5.1496
5.1496 0.0000 5.1496
5.1496 5.1496 0.0000
Ba Na
2 4
Direct
0.1250 0.1250 0.1250
0.8750 0.8750 0.8750
0.0000 0.5000 0.5000
0.5000 0.0000 0.5000
0.5000 0.5000 0.0000
0.5000 0.5000 0.5000
```

## Properties
ΔE_f: 0.00 eV per atom
Relative energy among the computed polymorphs: 0.010 eV per atom
Final energy: -0.1119 Ry/atom
Size of the total moment: 0.00 μB per formula unit

***

(3)
First-principles (PBE) data for PmThCuPb after structural relaxation, as listed in the Alexandria database.

```
PmThCuPb
1.0
0.0000 3.7786 3.7786
3.7786 0.0000 3.7786
3.7786 3.7786 0.0000
Pm Th Cu Pb
1 1 1 1
Direct
0.0000 0.0000 0.0000
0.5000 0.5000 0.5000
0.7500 0.7500 0.7500
0.2500 0.2500 0.2500
```

## Properties
ΔE_f: -0.16 eV per atom
Final energy: -0.3787 Ry/atom
Size of the total moment: 0.00 μB per formula unit

***

(4)
First-principles (PBE) data for RbTeS2 after structural relaxation, as listed in the Alexandria database.

```
RbTeS2
1.0
2.7406 -7.5344 0.0000
2.7406 7.5344 0.0000
0.0000 0.0000 7.7279
Rb Te S
2 2 4
Direct
0.1858 0.8142 0.7500
0.8142 0.1858 0.2500
0.4779 0.5221 0.7500
0.5221 0.4779 0.2500
0.3757 0.6243 0.5079
0.3757 0.6243 0.9921
0.6243 0.3757 0.0079
0.6243 0.3757 0.4921
```

## Properties
Energy relative to the elements, uncorrected: -0.4645 eV per atom
Final energy: -0.2613 Ry/atom
Size of the total moment: 0.00 μB per formula unit

***

(5)
First-principles (PBE) data for BePN after structural relaxation, as listed in the Alexandria database.

```
BePN
1.0
2.9067 0.0000 0.0000
0.0000 5.1183 0.0000
-2.8265 0.0000 4.1423
Be P N
2 2 2
Direct
0.0000 0.0461 0.0000
0.0000 0.9539 0.5000
0.6956 0.4726 0.1981
0.6956 0.5274 0.6981
0.6650 0.1381 0.1680
0.6650 0.8619 0.6680
```

## Properties
Energy relative to the elements, uncorrected: -0.4673 eV per atom
Final energy: -0.4621 Ry/atom
Size of the total moment: 0.00 μB per formula unit

***

(6)
First-principles (PBE) data for Cs3Dy3VSe8 after structural relaxation, as listed in the Alexandria database.

```
Cs3Dy3VSe8
1.0
4.0984 2.3662 8.5628
-4.0984 2.3662 8.5628
0.0000 -4.7325 8.5628
Cs Dy V Se
3 3 1 8
Direct
0.0000 0.5000 0.5000
0.5000 0.0000 0.5000
0.5000 0.5000 0.0000
0.0000 0.0000 0.5000
0.0000 0.5000 0.0000
0.5000 0.0000 0.0000
0.5000 0.5000 0.5000
0.2291 0.2291 0.2291
0.2531 0.7102 0.7102
0.2898 0.2898 0.7469
0.2898 0.7469 0.2898
0.7102 0.2531 0.7102
0.7102 0.7102 0.2531
0.7469 0.2898 0.2898
0.7709 0.7709 0.7709
```

## Properties
Energy relative to the elements, uncorrected: -1.4525 eV per atom
Final energy: -0.3682 Ry/atom
Size of the total moment: 0.99 μB per formula unit

***

(7)
First-principles (PBE) data for BeNbZn2C after structural relaxation, as listed in the Alexandria database.

```
BeNbZn2C
1.0
5.1699 0.0000 0.0000
0.0000 5.1699 0.0000
0.0000 0.0000 3.9745
Be Nb Zn C
1 1 2 1
Direct
0.0000 0.0000 0.0000
0.5000 0.5000 0.5000
0.0000 0.5000 0.5000
0.5000 0.0000 0.5000
0.5000 0.5000 0.0000
```

## Properties
ΔE_f: 1.57 eV per atom
Final energy: -0.2606 Ry/atom
Size of the total moment: 0.00 μB per formula unit

***

(8)
First-principles (PBE) data for EuDyTi4O12 after structural relaxation, as listed in the Alexandria database.

```
EuDyTi4O12
1.0
7.7366 0.0000 0.0000
0.0000 3.8425 3.8214
0.0000 -3.8425 3.8214
Eu Dy Ti O
1 1 4 12
Direct
0.0000 0.0000 0.0000
0.5000 0.4266 0.4266
0.2505 0.4827 0.9526
0.2505 0.9526 0.4827
0.7495 0.4827 0.9526
0.7495 0.9526 0.4827
0.0000 0.5087 0.9349
0.0000 0.9349 0.5087
0.2330 0.2532 0.2532
0.2382 0.1727 0.7660
0.2382 0.7660 0.1727
0.3015 0.6554 0.6554
0.5000 0.0201 0.4604
0.5000 0.4604 0.0201
0.6985 0.6554 0.6554
0.7618 0.1727 0.7660
0.7618 0.7660 0.1727
0.7670 0.2532 0.2532
```

## Properties
Energy relative to the elements, uncorrected: -2.7596 eV per atom
Final energy: -0.6355 Ry/atom
Size of the total moment: 3.98 μB per formula unit

***

Question: Look up the size of the total moment of the third one.
Answer: 0.00 μB per formula unit

***

Please write out number 7 again, unchanged.
First-principles (PBE) data for BeNbZn2C after structural relaxation, as listed in the Alexandria database.

```
BeNbZn2C
1.0
5.1699 0.0000 0.0000
0.0000 5.1699 0.0000
0.0000 0.0000 3.9745
Be Nb Zn C
1 1 2 1
Direct
0.0000 0.0000 0.0000
0.5000 0.5000 0.5000
0.0000 0.5000 0.5000
0.5000 0.0000 0.5000
0.5000 0.5000 0.0000
```

## Properties
ΔE_f: 1.57 eV per atom
Final energy: -0.2606 Ry/atom
Size of the total moment: 0.00 μB per formula unit

***

Question: Which formula does entry 2 have?
Answer: BaNa2